(1)
A relaxed structure of K3CaCo, computed with GGA-PBE.

Summary:
The value obtained for the energy of formation is 1217 meV/atom. The value obtained for the density of states at the Fermi level is 8.39 states/eV/cell. Its energy is -1.2631 eV/atom.

Cell lengths 7.4378, 7.4378, 7.4378 Å; angles 90.00, 90.00, 90.00 degrees
Space group Pm-3m (No. 221)
Symmetry-distinct sites (fractional):
K (0.0000, 0.0000, 0.5000)
Ca (0.0000, 0.0000, 0.0000)
Co (0.5000, 0.5000, 0.5000)

=====

(2)
A relaxed structure of K2CaCo, computed with GGA-PBE.

Summary:
The value obtained for the energy of formation is 520 meV/atom. The value obtained for the density of states at the Fermi level is 13.02 states/eV/cell. Its energy is -2.3056 eV/atom. The value obtained for the polymorph energy (0 for the lowest one) is 14 meV per atom.

Cell lengths 3.6679, 4.4552, 20.4525 Å; angles 90.00, 90.00, 90.00 degrees
Space group Immm (No. 71)
Symmetry-distinct sites (fractional):
K (0.0000, 0.0000, 0.1542)
Ca (0.0000, 0.5000, 0.0000)
Co (0.0000, 0.5000, 0.5000)

=====

(3)
A relaxed structure of K2CaCo, computed with GGA-PBE.

Summary:
The value obtained for the energy of formation is 836 meV/atom. The value obtained for the density of states at the Fermi level is 3.73 states/eV/cell. Its energy is -1.9899 eV/atom. The value obtained for the polymorph energy (0 for the lowest one) is 330 meV per atom.

Cell lengths 4.2181, 5.2811, 7.2096 Å; angles 90.00, 90.00, 90.00 degrees
Space group Pmmm (No. 47)
Symmetry-distinct sites (fractional):
K (0.0000, 0.0000, 0.2173)
Ca (0.5000, 0.5000, 0.5000)
Co (0.5000, 0.5000, 0.0000)

=====

(4)
A relaxed structure of KCa3Co, computed with GGA-PBE.

Summary:
The value obtained for the energy of formation is 201 meV/atom. The value obtained for the density of states at the Fermi level is 3.83 states/eV/cell. Its energy is -2.6409 eV/atom. The value obtained for the polymorph energy (0 for the lowest one) is 0 meV per atom.

Cell lengths 5.6467, 5.6467, 5.6467 Å; angles 90.00, 90.00, 90.00 degrees
Space group Pm-3m (No. 221)
Symmetry-distinct sites (fractional):
K (0.0000, 0.0000, 0.0000)
Ca (0.0000, 0.5000, 0.5000)
Co (0.5000, 0.5000, 0.5000)

=====

(5)
A relaxed structure of K2CaCo, computed with GGA-PBE.

Summary:
The value obtained for the energy of formation is 844 meV/atom. The value obtained for the density of states at the Fermi level is 21.47 states/eV/cell. Its energy is -1.9814 eV/atom. The value obtained for the polymorph energy (0 for the lowest one) is 338 meV per atom.

Cell lengths 4.7475, 4.7475, 26.6019 Å; angles 90.00, 90.00, 90.00 degrees
Space group I-42d (No. 122)
Symmetry-distinct sites (fractional):
K (0.2262, 0.2500, 0.1250)
Ca (0.0000, 0.0000, 0.5000)
Co (0.0000, 0.0000, 0.0000)

=====

(6)
A relaxed structure of K2CaCo, computed with GGA-PBE.

Summary:
The value obtained for the energy of formation is 777 meV/atom. The value obtained for the density of states at the Fermi level is 6.72 states/eV/cell. Its energy is -2.0491 eV/atom. The value obtained for the polymorph energy (0 for the lowest one) is 271 meV per atom.

Cell lengths 4.8762, 4.8762, 12.5310 Å; angles 90.00, 90.00, 90.00 degrees
Space group I4/mmm (No. 139)
Symmetry-distinct sites (fractional):
K (0.0000, 0.5000, 0.2500)
Ca (0.0000, 0.0000, 0.0000)
Co (0.0000, 0.0000, 0.5000)

=====

(7)
A relaxed structure of K2CaCo, computed with GGA-PBE.

Summary:
The value obtained for the energy of formation is 587 meV/atom. The value obtained for the density of states at the Fermi level is 11.66 states/eV/cell. Its energy is -2.2384 eV/atom. The value obtained for the polymorph energy (0 for the lowest one) is 81 meV per atom.

Cell lengths 9.7960, 3.6545, 9.9146 Å; angles 90.00, 104.49, 90.00 degrees
Space group Cm (No. 8)
Symmetry-distinct sites (fractional):
K (0.0000, 0.0000, 0.0000)
K (0.1562, 0.0000, 0.6086)
Ca (0.3402, 0.0000, 0.3044)
Co (0.1171, 0.5000, 0.3040)

=====

(8)
A relaxed structure of K2CaCo, computed with GGA-PBE.

Summary:
The value obtained for the energy of formation is 877 meV/atom. The value obtained for the density of states at the Fermi level is 7.13 states/eV/cell. Its energy is -1.9486 eV/atom. The value obtained for the polymorph energy (0 for the lowest one) is 371 meV per atom.

Cell lengths 6.7726, 11.6687, 4.1266 Å; angles 90.00, 90.00, 90.00 degrees
Space group Cmmm (No. 65)
Symmetry-distinct sites (fractional):
K (0.2500, 0.2500, 0.0000)
Ca (0.0000, 0.0000, 0.5000)
Co (0.0000, 0.5000, 0.5000)